This record from Alexandria via LeMat-Bulk describes a relaxed structure of Pr2NpBiO8. The functional is PBE.

The value obtained for the uncorrected formation energy is -2.606 eV per atom. Its crystal system is triclinic.

It has space group P-1 (No. 2), with a = 4.012 Å, b = 5.594 Å, c = 7.722 Å, α = 89.95°, β = 89.99° and γ = 84.66°. Symmetry generates all atoms from Pr at (0.000, 0.000, 0.246), Np at (0.500, 0.500, 0.500), Bi at (0.500, 0.500, 0.000), O at (0.006, 0.248, 0.000), O at (0.060, 0.715, 0.500), O at (0.464, 0.270, 0.285) and O at (0.464, 0.270, 0.714).

---

This record from Alexandria via LeMat-Bulk describes a relaxed structure of Ni2AgOsPb. The functional is PBE.

The calculation puts the formation energy at 2.03 eV per atom. Its crystal system is tetragonal.

It has space group P4/mmm (No. 123), with a = 4.694 Å, b = 4.694 Å, c = 5.086 Å, α = 90.00°, β = 90.00° and γ = 90.00°. Symmetry generates all atoms from Ni at (0.000, 0.500, 0.000), Ag at (0.000, 0.000, 0.500), Os at (0.500, 0.500, 0.500) and Pb at (0.000, 0.000, 0.000).

---

This record from Alexandria via LeMat-Bulk describes a relaxed structure of Pm3NdTm2S6. The functional is PBE.

The value obtained for the uncorrected formation energy is -2.001 eV per atom. Its crystal system is monoclinic.

It has space group C2/m (No. 12), with a = 6.864 Å, b = 11.920 Å, c = 6.916 Å, α = 90.00°, β = 109.37° and γ = 90.00°. Symmetry generates all atoms from Pm at (0.000, 0.000, 0.000), Pm at (0.000, 0.340, 0.000), Nd at (0.000, 0.500, 0.500), Tm at (0.000, 0.166, 0.500), S at (0.232, 0.000, 0.735) and S at (0.247, 0.173, 0.260).

---

This record from Alexandria via LeMat-Bulk describes a relaxed structure of LaReGe4. The functional is PBE.

The calculation puts the formation energy at -0.18 eV per atom. Its crystal system is monoclinic.

It has space group C2/c (No. 15), with a = 11.551 Å, b = 6.434 Å, c = 6.922 Å, α = 90.00°, β = 95.14° and γ = 90.00°. Symmetry generates all atoms from La at (0.000, 0.101, 0.250), Re at (0.250, 0.250, 0.000), Ge at (0.054, 0.379, 0.906) and Ge at (0.247, 0.111, 0.652).

---

This record from Alexandria via LeMat-Bulk describes a relaxed structure of CsTa2Au. The functional is PBE.

The calculation puts the formation energy at 1.40 eV per atom. Its crystal system is tetragonal.

It has space group I-42d (No. 122), with a = 4.609 Å, b = 4.609 Å, c = 21.137 Å, α = 90.00°, β = 90.00° and γ = 90.00°. Symmetry generates all atoms from Cs at (0.000, 0.000, 0.000), Ta at (0.114, 0.750, 0.625) and Au at (0.000, 0.000, 0.500).

---

This record from Alexandria via LeMat-Bulk describes a relaxed structure of In2TcP. The functional is PBE.

The calculation puts the formation energy at 0.61 eV per atom. Its crystal system is tetragonal.

It has space group I-42d (No. 122), with a = 7.630 Å, b = 7.630 Å, c = 5.573 Å, α = 90.00°, β = 90.00° and γ = 90.00°. Symmetry generates all atoms from In at (0.229, 0.250, 0.125), Tc at (0.000, 0.000, 0.500) and P at (0.000, 0.000, 0.000).